[1]
Here is Te2PbBr after structural relaxation from Alexandria via LeMat-Bulk. Energies are from GGA-PBE.

Results
Total energy = -11.93 eV/f.u.
V = 127.7 Å³ per cell

abc: 6.504 7.246 3.245
angles: 87.37 66.62 111.10
Element x y z (fractional)
Pb 0.500 0.500 0.000
Te 0.000 0.000 0.000
Te 0.500 0.000 0.500
Br 0.000 0.500 0.500

[2]
Here is Te2PbBr after structural relaxation from Alexandria via LeMat-Bulk. Energies are from GGA-PBE.

Results
Total energy = -12.63 eV/f.u.
V = 174.3 Å³ per cell

abc: 6.982 6.983 6.276
angles: 116.54 116.54 111.26
Element x y z (fractional)
Pb 0.845 0.155 0.500
Te 0.895 0.105 0.000
Te 0.263 0.737 0.500
Br 0.496 0.504 0.000

[3]
Here is TePb2Br after structural relaxation from Alexandria via LeMat-Bulk. Energies are from GGA-PBE.

Results
Total energy = -12.40 eV/f.u.
V = 121.3 Å³ per cell

abc: 5.556 5.556 5.556
angles: 60.00 60.00 60.00
Element x y z (fractional)
Pb 0.000 0.000 0.000
Pb 0.250 0.250 0.250
Te 0.750 0.750 0.750
Br 0.500 0.500 0.500

Computed relative energy among the computed polymorphs, in the same sequence as the records: 313.1; 137.1; 364.0 meV per atom.
Computed raw formation energy, in the same sequence as the records: -66; -242; -43 meV per atom.